Entry from OQMD: a relaxed structure of CuWS4 (PBE-GGA).

Unit cell a=5.2594 b=5.9196 c=7.1232 alpha=88.39 beta=86.64 gamma=88.54
Closest atoms and distances in Å follow each position.
Space group P-1 (No. 2)
Symmetry-distinct sites (fractional):
Cu (0.0155, 0.2551, 0.1671)  5 S 2.32-2.47
W (0.4912, 0.7514, 0.3359)  5 S 2.23-2.49
S (0.2372, 0.4176, 0.8816)  1 W 2.28, 2 Cu 2.35-2.47
S (0.2409, 0.4348, 0.4094)  2 W 2.35-2.57, 1 Cu 2.43
S (0.2515, 0.9227, 0.1247)  1 W 2.23, 1 Cu 2.32
S (0.2535, 0.9290, 0.6076)  1 Cu 2.34, 2 W 2.40-2.49

Computed properties:
The value obtained for the uncorrected energy is -68.7 eV for the cell shown. The calculation puts the excess energy over the best structure of this formula in the dataset at 2.3 kJ/mol of atoms.